CaNd4Sn4 | PBE | relaxed

Values from the calculation:
formation energy = -0.50 eV per atom

Cell: 9.913 9.913 6.403 Å, 90.00 90.00 90.00°
Space group P4_2/n (No. 86, origin choice 2)
Inequivalent atoms, fractional coordinates:
Ca 0.250 0.250 0.250
Nd 0.079 0.654 0.124
Sn 0.024 0.622 0.626